A geometry-optimized ZnOsSN2 structure, computed with PBE.

The space-group type is P4/mmm (123). The calculation puts the formation energy (no corrections) at 0.53 eV per atom. For the energy above the most stable polymorph in this dataset, the calculation gives 0 meV per atom.

Cell and atoms, written as POSCAR:
```
ZnOsSN2
1.0
-3.1342 1.1769 -1.7081
-2.0305 -1.1080 2.9624
0.5962 4.7705 2.1930
Zn Os S N
1 1 1 2
direct
0.5000 0.5000 0.5000 Zn
0.0000 0.0000 0.0000 Os
0.0000 0.0000 0.5000 S
0.0000 0.5000 0.0000 N
0.5000 0.0000 0.0000 N
```


A geometry-optimized ZnOsS2N structure, computed with PBE.

The space-group type is P4/mmm (123). The calculation puts the formation energy (no corrections) at 1.70 eV per atom. For the energy above the most stable polymorph in this dataset, the calculation gives 1253 meV per atom.

Cell and atoms, written as POSCAR:
```
ZnOsS2N
1.0
4.6911 0.0000 0.0000
0.0000 4.6911 0.0000
0.0000 0.0000 3.5074
Zn Os S N
1 1 2 1
direct
0.0000 0.0000 0.0000 Zn
0.5000 0.5000 0.5000 Os
0.0000 0.5000 0.0000 S
0.5000 0.0000 0.0000 S
0.0000 0.0000 0.5000 N
```


A geometry-optimized ZnOsS2N structure, computed with PBE.

The space-group type is P4/mmm (123). The calculation puts the formation energy (no corrections) at 0.45 eV per atom. For the energy above the most stable polymorph in this dataset, the calculation gives 0 meV per atom.

Cell and atoms, written as POSCAR:
```
ZnOsS2N
1.0
-4.0845 0.3642 -2.5806
2.0083 -2.6180 -3.5480
-1.2594 -3.0788 1.5589
Zn Os S N
1 1 2 1
direct
0.5000 0.5000 0.5000 Zn
0.0000 0.0000 0.0000 Os
0.0000 0.5000 0.0000 S
0.5000 0.0000 0.0000 S
0.0000 0.0000 0.5000 N
```


A geometry-optimized ZnOsSN2 structure, computed with PBE.

The space-group type is P4/mmm (123). The calculation puts the formation energy (no corrections) at 2.15 eV per atom. For the energy above the most stable polymorph in this dataset, the calculation gives 1616 meV per atom.

Cell and atoms, written as POSCAR:
```
ZnOsSN2
1.0
-3.5859 0.4910 0.9487
-0.5580 -3.6946 -0.1970
1.1336 -0.4111 4.4976
Zn Os S N
1 1 1 2
direct
0.0000 0.0000 0.0000 Zn
0.5000 0.5000 0.5000 Os
0.0000 0.0000 0.5000 S
0.0000 0.5000 0.0000 N
0.5000 0.0000 0.0000 N
```


A geometry-optimized ZrOs2SN structure, computed with PBE.

The space-group type is P4/mmm (123). The calculation puts the formation energy (no corrections) at 2.77 eV per atom.

Cell and atoms, written as POSCAR:
```
ZrOs2SN
1.0
-2.2587 4.1140 -1.9263
-3.2645 -2.8833 -2.3301
-3.0651 0.2076 4.0373
S Os Zr N
1 2 1 1
direct
0.0000 0.5000 0.0000 S
0.0000 0.0000 0.5000 Os
0.5000 0.0000 0.0000 Os
0.0000 0.0000 0.0000 Zr
0.5000 0.5000 0.5000 N
```


A geometry-optimized ZrOsSN2 structure, computed with PBE.

The space-group type is P4/mmm (123). The calculation puts the formation energy (no corrections) at 1.28 eV per atom. For the energy above the most stable polymorph in this dataset, the calculation gives 1044 meV per atom.

Cell and atoms, written as POSCAR:
```
ZrOsSN2
1.0
-2.3929 -0.2793 -3.2526
2.3084 -2.9964 -1.4409
-3.0380 -3.5623 2.5408
S Os Zr N
1 1 1 2
direct
0.0000 0.0000 0.5000 S
0.5000 0.5000 0.5000 Os
0.0000 0.0000 0.0000 Zr
0.0000 0.5000 0.0000 N
0.5000 0.0000 0.0000 N
```


A geometry-optimized ZrOsSN2 structure, computed with PBE.

The space-group type is P4/mmm (123). The calculation puts the formation energy (no corrections) at 0.23 eV per atom. For the energy above the most stable polymorph in this dataset, the calculation gives 0 meV per atom.

Cell and atoms, written as POSCAR:
```
ZrOsSN2
1.0
-3.5007 -1.1947 -1.0042
0.5313 -3.2312 1.9919
-1.8560 2.1249 3.9419
S Os Zr N
1 1 1 2
direct
0.0000 0.0000 0.5000 S
0.0000 0.0000 0.0000 Os
0.5000 0.5000 0.5000 Zr
0.0000 0.5000 0.0000 N
0.5000 0.0000 0.0000 N
```


A geometry-optimized SbOs2N structure, computed with PBE.

The space-group type is Fm-3m (225). The calculation puts the formation energy (no corrections) at 1.45 eV per atom. For the energy above the most stable polymorph in this dataset, the calculation gives 821 meV per atom.

Cell and atoms, written as POSCAR:
```
SbOs2N
1.0
0.0000 3.0640 3.0640
3.0640 0.0000 3.0640
3.0640 3.0640 0.0000
Sb Os N
1 2 1
direct
0.5000 0.5000 0.5000 Sb
0.2500 0.2500 0.2500 Os
0.7500 0.7500 0.7500 Os
0.0000 0.0000 0.0000 N
```


A geometry-optimized SbOs3N structure, computed with PBE.

The space-group type is Pm-3m (221). The calculation puts the formation energy (no corrections) at 3.82 eV per atom. For the energy above the most stable polymorph in this dataset, the calculation gives 2922 meV per atom.

Cell and atoms, written as POSCAR:
```
SbOs3N
1.0
-4.8349 0.0532 -0.4973
-0.4178 -3.0857 3.7324
-0.2749 3.7553 3.0739
Sb Os N
1 3 1
direct
0.0000 0.0000 0.0000 Sb
0.0000 0.5000 0.0000 Os
0.0000 0.0000 0.5000 Os
0.5000 0.0000 0.0000 Os
0.5000 0.5000 0.5000 N
```


A geometry-optimized SbOsN3 structure, computed with PBE.

The space-group type is Pm-3m (221). The calculation puts the formation energy (no corrections) at 1.04 eV per atom.

Cell and atoms, written as POSCAR:
```
SbOsN3
1.0
3.9173 0.0000 0.0000
0.0000 3.9173 0.0000
0.0000 0.0000 3.9173
Sb Os N
1 1 3
direct
0.5000 0.5000 0.5000 Sb
0.0000 0.0000 0.0000 Os
0.0000 0.5000 0.0000 N
0.0000 0.0000 0.5000 N
0.5000 0.0000 0.0000 N
```


A geometry-optimized Sb3OsN structure, computed with PBE.

The space-group type is Pm-3m (221). The calculation puts the formation energy (no corrections) at 1.63 eV per atom. For the energy above the most stable polymorph in this dataset, the calculation gives 626 meV per atom.

Cell and atoms, written as POSCAR:
```
Sb3OsN
1.0
5.0872 0.0000 0.0000
0.0000 5.0872 0.0000
0.0000 0.0000 5.0872
Sb Os N
3 1 1
direct
0.0000 0.5000 0.0000 Sb
0.0000 0.0000 0.5000 Sb
0.5000 0.0000 0.0000 Sb
0.0000 0.0000 0.0000 Os
0.5000 0.5000 0.5000 N
```


A geometry-optimized SbOsN3 structure, computed with PBE.

The space-group type is Pm-3m (221). The calculation puts the formation energy (no corrections) at 2.26 eV per atom.

Cell and atoms, written as POSCAR:
```
SbOsN3
1.0
-0.3174 -1.8766 -3.4614
3.5713 1.3252 -1.0460
1.6581 -3.2134 1.5901
Sb Os N
1 1 3
direct
0.0000 0.0000 0.0000 Sb
0.5000 0.5000 0.5000 Os
0.0000 0.5000 0.0000 N
0.0000 0.0000 0.5000 N
0.5000 0.0000 0.0000 N
```


A geometry-optimized SbOs3N structure, computed with PBE.

The space-group type is Pm-3m (221). The calculation puts the formation energy (no corrections) at 0.90 eV per atom. For the energy above the most stable polymorph in this dataset, the calculation gives 0 meV per atom.

Cell and atoms, written as POSCAR:
```
SbOs3N
1.0
4.1552 0.0000 0.0000
0.0000 4.1552 0.0000
0.0000 0.0000 4.1552
Sb Os N
1 3 1
direct
0.5000 0.5000 0.5000 Sb
0.0000 0.5000 0.0000 Os
0.0000 0.0000 0.5000 Os
0.5000 0.0000 0.0000 Os
0.0000 0.0000 0.0000 N
```


A geometry-optimized SbOs2N structure, computed with PBE.

The space-group type is I-42d (122). The calculation puts the formation energy (no corrections) at 0.63 eV per atom. For the energy above the most stable polymorph in this dataset, the calculation gives 0 meV per atom.

Cell and atoms, written as POSCAR:
```
SbOs2N
1.0
-4.5358 1.7781 1.8999
-1.9327 0.2544 -4.8523
-4.9285 -3.7590 -1.0518
Sb Os N
2 4 2
direct
0.0000 0.0000 0.0000 Sb
0.7500 0.2500 0.5000 Sb
0.5130 0.1250 0.2500 Os
0.2370 0.6250 0.2500 Os
0.3750 0.4870 0.7500 Os
0.8750 0.7630 0.7500 Os
0.5000 0.5000 0.0000 N
0.2500 0.7500 0.5000 N
```


A geometry-optimized SbOs2N2 structure, computed with PBE.

The space-group type is P4/mbm (127). The calculation puts the formation energy (no corrections) at 1.50 eV per atom. For the energy above the most stable polymorph in this dataset, the calculation gives 537 meV per atom.

Cell and atoms, written as POSCAR:
```
SbOs2N2
1.0
7.1465 0.0000 0.0000
0.0000 7.1465 0.0000
0.0000 0.0000 2.7470
Sb Os N
2 4 4
direct
0.0000 0.0000 0.0000 Sb
0.5000 0.5000 0.0000 Sb
0.1234 0.6234 0.5000 Os
0.6234 0.8766 0.5000 Os
0.8766 0.3766 0.5000 Os
0.3766 0.1234 0.5000 Os
0.3855 0.8855 0.0000 N
0.8855 0.6145 0.0000 N
0.6145 0.1145 0.0000 N
0.1145 0.3855 0.0000 N
```


A geometry-optimized SbOs2N2 structure, computed with PBE.

The space-group type is I4/mmm (139). The calculation puts the formation energy (no corrections) at 0.97 eV per atom. For the energy above the most stable polymorph in this dataset, the calculation gives 0 meV per atom.

Cell and atoms, written as POSCAR:
```
SbOs2N2
1.0
3.8697 0.0000 0.0000
0.0000 3.8697 0.0000
1.9348 1.9348 4.8267
Sb Os N
1 2 2
direct
0.0000 0.0000 0.0000 Sb
0.7500 0.2500 0.5000 Os
0.2500 0.7500 0.5000 Os
0.3366 0.3366 0.3267 N
0.6634 0.6634 0.6733 N
```


A geometry-optimized Sb3OsN structure, computed with PBE.

The space-group type is Pm-3m (221). The calculation puts the formation energy (no corrections) at 1.00 eV per atom. For the energy above the most stable polymorph in this dataset, the calculation gives 0 meV per atom.

Cell and atoms, written as POSCAR:
```
Sb3OsN
1.0
-0.6765 4.1570 1.7216
-0.9607 -1.8342 4.0515
4.3956 0.2389 1.1505
Sb Os N
3 1 1
direct
0.0000 0.5000 0.0000 Sb
0.0000 0.0000 0.5000 Sb
0.5000 0.0000 0.0000 Sb
0.5000 0.5000 0.5000 Os
0.0000 0.0000 0.0000 N
```


A geometry-optimized SbOsSeN2 structure, computed with PBE.

The space-group type is P4/mmm (123). The calculation puts the formation energy (no corrections) at 1.99 eV per atom. For the energy above the most stable polymorph in this dataset, the calculation gives 1208 meV per atom.

Cell and atoms, written as POSCAR:
```
SbOsSeN2
1.0
3.9336 0.0000 0.0000
0.0000 3.9336 0.0000
0.0000 0.0000 5.8034
Sb Os Se N
1 1 1 2
direct
0.0000 0.0000 0.0000 Sb
0.5000 0.5000 0.5000 Os
0.0000 0.0000 0.5000 Se
0.0000 0.5000 0.0000 N
0.5000 0.0000 0.0000 N
```


A geometry-optimized SbOsSeN2 structure, computed with PBE.

The space-group type is P4/mmm (123). The calculation puts the formation energy (no corrections) at 0.78 eV per atom. For the energy above the most stable polymorph in this dataset, the calculation gives 0 meV per atom.

Cell and atoms, written as POSCAR:
```
SbOsSeN2
1.0
3.9174 0.0000 0.0000
0.0000 3.9174 0.0000
0.0000 0.0000 5.3195
Sb Os Se N
1 1 1 2
direct
0.5000 0.5000 0.5000 Sb
0.0000 0.0000 0.0000 Os
0.0000 0.0000 0.5000 Se
0.0000 0.5000 0.0000 N
0.5000 0.0000 0.0000 N
```


A geometry-optimized TaSb2OsN structure, computed with PBE.

The space-group type is P4/mmm (123). The calculation puts the formation energy (no corrections) at 0.83 eV per atom. For the energy above the most stable polymorph in this dataset, the calculation gives 0 meV per atom.

Cell and atoms, written as POSCAR:
```
TaSb2OsN
1.0
5.3939 0.0000 0.0000
0.0000 3.6140 0.0000
0.0000 0.0000 5.3939
Sb N Os Ta
2 1 1 1
direct
0.0000 0.0000 0.5000 Sb
0.5000 0.0000 0.0000 Sb
0.0000 0.5000 0.0000 N
0.0000 0.0000 0.0000 Os
0.5000 0.5000 0.5000 Ta
```


A geometry-optimized TaSb2OsN structure, computed with PBE.

The space-group type is P4/mmm (123). The calculation puts the formation energy (no corrections) at 1.96 eV per atom. For the energy above the most stable polymorph in this dataset, the calculation gives 1128 meV per atom.

Cell and atoms, written as POSCAR:
```
TaSb2OsN
1.0
4.9997 0.0000 0.0000
0.0000 4.9541 0.0000
0.0000 0.0000 4.9997
Sb N Os Ta
2 1 1 1
direct
0.0000 0.0000 0.5000 Sb
0.5000 0.0000 0.0000 Sb
0.5000 0.5000 0.5000 N
0.0000 0.0000 0.0000 Os
0.0000 0.5000 0.0000 Ta
```


A geometry-optimized TcSbOsN2 structure, computed with PBE.

The space-group type is P4/mmm (123). The calculation puts the formation energy (no corrections) at 1.09 eV per atom.

Cell and atoms, written as POSCAR:
```
TcSbOsN2
1.0
-0.8219 -3.7198 0.1956
5.6306 -1.3159 -1.3650
0.8979 -0.0035 3.7073
Sb Os Tc N
1 1 1 2
direct
0.0000 0.5000 0.0000 Sb
0.0000 0.0000 0.0000 Os
0.5000 0.5000 0.5000 Tc
0.0000 0.0000 0.5000 N
0.5000 0.0000 0.0000 N
```


A geometry-optimized SbTeOsN2 structure, computed with PBE.

The space-group type is P4/mmm (123). The calculation puts the formation energy (no corrections) at 1.95 eV per atom. For the energy above the most stable polymorph in this dataset, the calculation gives 1006 meV per atom.

Cell and atoms, written as POSCAR:
```
SbTeOsN2
1.0
-0.0852 -3.4221 -1.9112
2.7164 -1.4297 2.4388
-5.0397 -2.2674 4.2844
Sb Te Os N
1 1 1 2
direct
0.0000 0.0000 0.0000 Sb
0.0000 0.0000 0.5000 Te
0.5000 0.5000 0.5000 Os
0.0000 0.5000 0.0000 N
0.5000 0.0000 0.0000 N
```


A geometry-optimized Sb2TeOsN structure, computed with PBE.

The space-group type is P4/mmm (123). The calculation puts the formation energy (no corrections) at 1.71 eV per atom. For the energy above the most stable polymorph in this dataset, the calculation gives 627 meV per atom.

Cell and atoms, written as POSCAR:
```
Sb2TeOsN
1.0
5.0741 0.0000 0.0000
0.0000 5.0741 0.0000
0.0000 0.0000 5.2306
Sb Te Os N
2 1 1 1
direct
0.0000 0.5000 0.0000 Sb
0.5000 0.0000 0.0000 Sb
0.0000 0.0000 0.5000 Te
0.0000 0.0000 0.0000 Os
0.5000 0.5000 0.5000 N
```


A geometry-optimized Sb2TeOsN structure, computed with PBE.

The space-group type is P4/mmm (123). The calculation puts the formation energy (no corrections) at 1.09 eV per atom. For the energy above the most stable polymorph in this dataset, the calculation gives 0 meV per atom.

Cell and atoms, written as POSCAR:
```
Sb2TeOsN
1.0
-0.7632 -2.4596 3.7836
4.1872 -1.8170 -0.3366
1.6696 3.3784 2.5330
Sb Te Os N
2 1 1 1
direct
0.0000 0.5000 0.0000 Sb
0.5000 0.0000 0.0000 Sb
0.0000 0.0000 0.5000 Te
0.5000 0.5000 0.5000 Os
0.0000 0.0000 0.0000 N
```


A geometry-optimized SbTeOsN2 structure, computed with PBE.

The space-group type is P4/mmm (123). The calculation puts the formation energy (no corrections) at 0.95 eV per atom. For the energy above the most stable polymorph in this dataset, the calculation gives 0 meV per atom.

Cell and atoms, written as POSCAR:
```
SbTeOsN2
1.0
3.9800 0.0000 0.0000
0.0000 3.9800 0.0000
0.0000 0.0000 5.7786
Sb Te Os N
1 1 1 2
direct
0.5000 0.5000 0.5000 Sb
0.0000 0.0000 0.5000 Te
0.0000 0.0000 0.0000 Os
0.0000 0.5000 0.0000 N
0.5000 0.0000 0.0000 N
```


A geometry-optimized Sc3OsN structure, computed with PBE.

The space-group type is Pm-3m (221). The calculation puts the formation energy (no corrections) at 0.89 eV per atom. For the energy above the most stable polymorph in this dataset, the calculation gives 1718 meV per atom.

Cell and atoms, written as POSCAR:
```
Sc3OsN
1.0
-2.4146 -3.6077 2.3802
2.5839 0.9806 4.1076
-3.4647 3.2456 1.4047
Sc Os N
3 1 1
direct
0.0000 0.5000 0.0000 Sc
0.0000 0.0000 0.5000 Sc
0.5000 0.0000 0.0000 Sc
0.0000 0.0000 0.0000 Os
0.5000 0.5000 0.5000 N
```


A geometry-optimized Sc2OsN structure, computed with PBE.

The space-group type is R-3m (166). The calculation puts the formation energy (no corrections) at -0.55 eV per atom.

Cell and atoms, written as POSCAR:
```
Sc2OsN
1.0
1.7712 0.0000 7.5053
-0.8856 1.5339 7.5053
-0.8856 -1.5339 7.5053
Sc Os N
2 1 1
direct
0.8897 0.8897 0.8897 Sc
0.1103 0.1103 0.1103 Sc
0.0000 0.0000 0.0000 Os
0.5000 0.5000 0.5000 N
```


A geometry-optimized Sc3OsN structure, computed with PBE.

The space-group type is Pm-3m (221). The calculation puts the formation energy (no corrections) at -0.83 eV per atom. For the energy above the most stable polymorph in this dataset, the calculation gives 0 meV per atom.

Cell and atoms, written as POSCAR:
```
Sc3OsN
1.0
4.3380 0.0000 0.0000
0.0000 4.3380 0.0000
0.0000 0.0000 4.3380
Sc Os N
3 1 1
direct
0.0000 0.5000 0.0000 Sc
0.0000 0.0000 0.5000 Sc
0.5000 0.0000 0.0000 Sc
0.5000 0.5000 0.5000 Os
0.0000 0.0000 0.0000 N
```